#a
VASP calculation (PBE) on a relaxed NaMg2Ni2 crystal.

Results
M_tot ... 0.00 μB/f.u.

The structure in CIF format:
```
data_NaMg2Ni2
_chemical_formula_sum 'Na2 Mg4 Ni4'
_cell_length_a 7.7589
_cell_length_b 7.7589
_cell_length_c 2.7958
_cell_angle_alpha 90.00
_cell_angle_beta 90.00
_cell_angle_gamma 90.00
_space_group_name_H-M_alt 'P 4/m b m'
_space_group_IT_number 127
_space_group_name_Hall '-P 4 2ab'
loop_
_atom_site_label
_atom_site_fract_x
_atom_site_fract_y
_atom_site_fract_z
_atom_site_occupancy
Na1 0.0000 0.0000 0.0000 1
Mg1 0.1407 0.3593 0.0000 1
Ni1 0.1506 0.6506 0.5000 1
```

=====

#b
VASP calculation (PBE) on a relaxed NaMg2Ni2 crystal.

Results
M_tot ... 0.00 μB/f.u.

The structure in CIF format:
```
data_NaMg2Ni2
_chemical_formula_sum 'Na2 Mg4 Ni4'
_cell_length_a 7.6538
_cell_length_b 7.6538
_cell_length_c 2.8640
_cell_angle_alpha 90.00
_cell_angle_beta 90.00
_cell_angle_gamma 90.00
_space_group_name_H-M_alt 'P 4/m b m'
_space_group_IT_number 127
_space_group_name_Hall '-P 4 2ab'
loop_
_atom_site_label
_atom_site_fract_x
_atom_site_fract_y
_atom_site_fract_z
_atom_site_occupancy
Na1 0.0000 0.0000 0.0000 1
Mg1 0.1716 0.3284 0.5000 1
Ni1 0.1173 0.6173 0.0000 1
```

=====

Name the least stable of them. #a.

=====

#a
VASP calculation (PBE) on a relaxed NaMg6Ni crystal.

Results
M_tot ... 0.00 μB/f.u.

The structure in CIF format:
```
data_NaMg6Ni
_chemical_formula_sum 'Na2 Mg12 Ni2'
_cell_length_a 4.9030
_cell_length_b 6.1716
_cell_length_c 11.4335
_cell_angle_alpha 90.00
_cell_angle_beta 90.00
_cell_angle_gamma 90.00
_space_group_name_H-M_alt 'A m m 2'
_space_group_IT_number 38
loop_
_space_group_symop_operation_xyz
'x,y,z'
'-x,-y,z'
'-x,y,z'
'x,-y,z'
'x,y+1/2,z+1/2'
'-x,-y+1/2,z+1/2'
'-x,y+1/2,z+1/2'
'x,-y+1/2,z+1/2'
loop_
_atom_site_label
_atom_site_fract_x
_atom_site_fract_y
_atom_site_fract_z
_atom_site_occupancy
Na1 0.0000 0.0000 0.0000 1
Mg1 0.0000 0.0000 0.4845 1
Mg2 0.0000 0.2377 0.2308 1
Mg3 0.5000 0.0000 0.6437 1
Mg4 0.5000 0.2430 0.3867 1
Ni1 0.5000 0.0000 0.1912 1
```

=====

#b
VASP calculation (PBE) on a relaxed NaMg6Ni crystal.

Results
M_tot ... 0.00 μB/f.u.

The structure in CIF format:
```
data_NaMg6Ni
_chemical_formula_sum 'Na2 Mg12 Ni2'
_cell_length_a 3.4454
_cell_length_b 9.7977
_cell_length_c 9.9684
_cell_angle_alpha 90.00
_cell_angle_beta 90.00
_cell_angle_gamma 90.00
_space_group_name_H-M_alt 'A m m 2'
_space_group_IT_number 38
loop_
_space_group_symop_operation_xyz
'x,y,z'
'-x,-y,z'
'-x,y,z'
'x,-y,z'
'x,y+1/2,z+1/2'
'-x,-y+1/2,z+1/2'
'-x,y+1/2,z+1/2'
'x,-y+1/2,z+1/2'
loop_
_atom_site_label
_atom_site_fract_x
_atom_site_fract_y
_atom_site_fract_z
_atom_site_occupancy
Na1 0.0000 0.0000 0.0000 1
Mg1 0.0000 0.2501 0.2490 1
Mg2 0.5000 0.0000 0.2872 1
Mg3 0.5000 0.0000 0.7129 1
Mg4 0.5000 0.2137 0.4994 1
Ni1 0.0000 0.0000 0.5008 1
```

=====

Name the least stable of them. #a.

=====

#a
VASP calculation (PBE) on a relaxed NaSrMg2Ni crystal.

Results
M_tot ... 0.00 μB/f.u.

The structure in CIF format:
```
data_NaSrMg2Ni
_chemical_formula_sum 'Na1 Sr1 Mg2 Ni1'
_cell_length_a 5.0194
_cell_length_b 5.0194
_cell_length_c 5.3950
_cell_angle_alpha 90.00
_cell_angle_beta 90.00
_cell_angle_gamma 90.00
_space_group_name_H-M_alt 'P 4/m m m'
_space_group_IT_number 123
_space_group_name_Hall '-P 4 2'
loop_
_atom_site_label
_atom_site_fract_x
_atom_site_fract_y
_atom_site_fract_z
_atom_site_occupancy
Na1 0.0000 0.0000 0.0000 1
Sr1 0.5000 0.5000 0.0000 1
Mg1 0.0000 0.5000 0.5000 1
Ni1 0.0000 0.0000 0.5000 1
```

=====

#b
VASP calculation (PBE) on a relaxed NaSrMg2Ni crystal.

Results
M_tot ... 0.00 μB/f.u.

The structure in CIF format:
```
data_NaSrMg2Ni
_chemical_formula_sum 'Na1 Sr1 Mg2 Ni1'
_cell_length_a 5.1161
_cell_length_b 5.1161
_cell_length_c 5.5172
_cell_angle_alpha 90.00
_cell_angle_beta 90.00
_cell_angle_gamma 90.00
_space_group_name_H-M_alt 'P 4/m m m'
_space_group_IT_number 123
_space_group_name_Hall '-P 4 2'
loop_
_atom_site_label
_atom_site_fract_x
_atom_site_fract_y
_atom_site_fract_z
_atom_site_occupancy
Na1 0.0000 0.0000 0.0000 1
Sr1 0.5000 0.5000 0.0000 1
Mg1 0.0000 0.5000 0.5000 1
Ni1 0.5000 0.5000 0.5000 1
```

=====

Name the least stable of them. #a.

=====

#a
VASP calculation (PBE) on a relaxed Na2Mg2O crystal.

Results
M_tot ... 0.00 μB/f.u.

The structure in CIF format:
```
data_Na2Mg2O
_chemical_formula_sum 'Na4 Mg4 O2'
_cell_length_a 5.8287
_cell_length_b 5.8287
_cell_length_c 6.6959
_cell_angle_alpha 90.00
_cell_angle_beta 90.00
_cell_angle_gamma 90.00
_space_group_name_H-M_alt 'P 4/m b m'
_space_group_IT_number 127
_space_group_name_Hall '-P 4 2ab'
loop_
_atom_site_label
_atom_site_fract_x
_atom_site_fract_y
_atom_site_fract_z
_atom_site_occupancy
Na1 0.1843 0.3157 0.0000 1
Mg1 0.1991 0.6991 0.5000 1
O1 0.0000 0.0000 0.5000 1
```

=====

#b
VASP calculation (PBE) on a relaxed Na2Mg2O crystal.

Results
M_tot ... 0.00 μB/f.u.

The structure in CIF format:
```
data_Na2Mg2O
_chemical_formula_sum 'Na4 Mg4 O2'
_cell_length_a 3.4457
_cell_length_b 3.4457
_cell_length_c 17.0120
_cell_angle_alpha 90.00
_cell_angle_beta 90.00
_cell_angle_gamma 90.00
_space_group_name_H-M_alt 'I 4/m m m'
_space_group_IT_number 139
_space_group_name_Hall '-I 4 2'
loop_
_atom_site_label
_atom_site_fract_x
_atom_site_fract_y
_atom_site_fract_z
_atom_site_occupancy
Na1 0.0000 0.5000 0.2500 1
Mg1 0.0000 0.0000 0.0798 1
O1 0.0000 0.0000 0.5000 1
```

=====

Name the least stable of them. #b.

=====

#a
VASP calculation (PBE) on a relaxed RbNaMg6O7 crystal.

Results
M_tot ... 1.10 μB/f.u.

The structure in CIF format:
```
data_RbNaMg6O7
_chemical_formula_sum 'Rb1 Na1 Mg6 O7'
_cell_length_a 4.2529
_cell_length_b 4.2529
_cell_length_c 11.7081
_cell_angle_alpha 90.00
_cell_angle_beta 90.00
_cell_angle_gamma 90.00
_space_group_name_H-M_alt 'P 4 m m'
_space_group_IT_number 99
loop_
_space_group_symop_operation_xyz
'x,y,z'
'-y,x,z'
'-x,-y,z'
'y,-x,z'
'-x,y,z'
'y,x,z'
'x,-y,z'
'-y,-x,z'
loop_
_atom_site_label
_atom_site_fract_x
_atom_site_fract_y
_atom_site_fract_z
_atom_site_occupancy
Rb1 0.0000 0.0000 0.0000 1
Na1 0.5000 0.5000 0.0999 1
Mg1 0.0000 0.0000 0.5072 1
Mg2 0.0000 0.5000 0.3004 1
Mg3 0.0000 0.5000 0.6941 1
Mg4 0.5000 0.5000 0.5220 1
O1 0.0000 0.0000 0.3370 1
O2 0.0000 0.0000 0.7050 1
O3 0.0000 0.5000 0.1383 1
O4 0.0000 0.5000 0.5150 1
O5 0.5000 0.5000 0.7025 1
```

=====

#b
VASP calculation (PBE) on a relaxed RbNaMg6O7 crystal.

Results
M_tot ... 0.00 μB/f.u.

The structure in CIF format:
```
data_RbNaMg6O7
_chemical_formula_sum 'Rb1 Na1 Mg6 O7'
_cell_length_a 4.5927
_cell_length_b 4.5927
_cell_length_c 8.5588
_cell_angle_alpha 90.00
_cell_angle_beta 90.00
_cell_angle_gamma 90.00
_space_group_name_H-M_alt 'P 4 m m'
_space_group_IT_number 99
loop_
_space_group_symop_operation_xyz
'x,y,z'
'-y,x,z'
'-x,-y,z'
'y,-x,z'
'-x,y,z'
'y,x,z'
'x,-y,z'
'-y,-x,z'
loop_
_atom_site_label
_atom_site_fract_x
_atom_site_fract_y
_atom_site_fract_z
_atom_site_occupancy
Rb1 0.0000 0.0000 0.0000 1
Na1 0.5000 0.5000 0.9133 1
Mg1 0.0000 0.0000 0.4436 1
Mg2 0.0000 0.5000 0.1618 1
Mg3 0.0000 0.5000 0.6934 1
Mg4 0.5000 0.5000 0.4165 1
O1 0.0000 0.0000 0.6652 1
O2 0.0000 0.5000 0.3947 1
O3 0.0000 0.5000 0.9260 1
O4 0.5000 0.5000 0.1801 1
O5 0.5000 0.5000 0.6479 1
```

=====

Name the least stable of them. #b.

=====

#a
VASP calculation (PBE) on a relaxed RbNaMg14O15 crystal.

Results
M_tot ... 0.00 μB/f.u.

The structure in CIF format:
```
data_RbNaMg14O15
_chemical_formula_sum 'Rb1 Na1 Mg14 O15'
_cell_length_a 4.3928
_cell_length_b 8.8481
_cell_length_c 8.5102
_cell_angle_alpha 90.00
_cell_angle_beta 90.00
_cell_angle_gamma 90.00
_space_group_name_H-M_alt 'P m m 2'
_space_group_IT_number 25
loop_
_space_group_symop_operation_xyz
'x,y,z'
'-x,-y,z'
'-x,y,z'
'x,-y,z'
loop_
_atom_site_label
_atom_site_fract_x
_atom_site_fract_y
_atom_site_fract_z
_atom_site_occupancy
Rb1 0.0000 0.0000 0.0000 1
Na1 0.0000 0.5000 0.8876 1
Mg1 0.0000 0.0000 0.4216 1
Mg2 0.0000 0.2458 0.6604 1
Mg3 0.0000 0.2839 0.1401 1
Mg4 0.0000 0.5000 0.4001 1
Mg5 0.5000 0.0000 0.1523 1
Mg6 0.5000 0.0000 0.6671 1
Mg7 0.5000 0.2479 0.3971 1
Mg8 0.5000 0.2579 0.8937 1
Mg9 0.5000 0.5000 0.1418 1
Mg10 0.5000 0.5000 0.6492 1
O1 0.0000 0.0000 0.6463 1
O2 0.0000 0.2329 0.3795 1
O3 0.0000 0.2575 0.9007 1
O4 0.0000 0.5000 0.1655 1
O5 0.0000 0.5000 0.6275 1
O6 0.5000 0.0000 0.3852 1
O7 0.5000 0.0000 0.9009 1
O8 0.5000 0.2395 0.1456 1
O9 0.5000 0.2482 0.6437 1
O10 0.5000 0.5000 0.3907 1
O11 0.5000 0.5000 0.9010 1
```

=====

#b
VASP calculation (PBE) on a relaxed RbNaMg14O15 crystal.

Results
M_tot ... 0.00 μB/f.u.

The structure in CIF format:
```
data_RbNaMg14O15
_chemical_formula_sum 'Rb1 Na1 Mg14 O15'
_cell_length_a 4.4105
_cell_length_b 8.8121
_cell_length_c 8.5093
_cell_angle_alpha 90.00
_cell_angle_beta 90.00
_cell_angle_gamma 90.00
_space_group_name_H-M_alt 'P m m 2'
_space_group_IT_number 25
loop_
_space_group_symop_operation_xyz
'x,y,z'
'-x,-y,z'
'-x,y,z'
'x,-y,z'
loop_
_atom_site_label
_atom_site_fract_x
_atom_site_fract_y
_atom_site_fract_z
_atom_site_occupancy
Rb1 0.0000 0.0000 0.0000 1
Na1 0.0000 0.5000 0.5901 1
Mg1 0.0000 0.0000 0.5676 1
Mg2 0.0000 0.2487 0.3346 1
Mg3 0.0000 0.2830 0.8440 1
Mg4 0.0000 0.5000 0.1007 1
Mg5 0.5000 0.0000 0.3305 1
Mg6 0.5000 0.0000 0.8330 1
Mg7 0.5000 0.2511 0.5947 1
Mg8 0.5000 0.2548 0.0987 1
Mg9 0.5000 0.5000 0.3506 1
Mg10 0.5000 0.5000 0.8444 1
O1 0.0000 0.0000 0.3411 1
O2 0.0000 0.2234 0.6142 1
O3 0.0000 0.2704 0.0902 1
O4 0.0000 0.5000 0.3361 1
O5 0.0000 0.5000 0.8548 1
O6 0.5000 0.0000 0.0944 1
O7 0.5000 0.0000 0.6003 1
O8 0.5000 0.2374 0.8478 1
O9 0.5000 0.2496 0.3474 1
O10 0.5000 0.5000 0.0913 1
O11 0.5000 0.5000 0.6025 1
```

=====

Name the least stable of them. #a.